# 1
The following is a DFT calculation (PBE) of crystalline Cs2U2SnTe6 at its relaxed geometry.

Summary:
ΔE_f (raw)	-763	meV per atom
density of states at the Fermi level	0.85	states/eV/atom

a = 7.8801 Å, b = 7.8801 Å, c = 9.3934 Å
α = 97.63°, β = 97.63°, γ = 120.20°
Fractional positions:
Cs 0.1614 0.8386 0.0000
Cs 0.8386 0.1614 0.0000
U 0.3334 0.6666 0.5000
U 0.6666 0.3334 0.5000
Sn 0.0000 0.0000 0.5000
Te 0.0596 0.4064 0.6861
Te 0.2905 0.2905 0.3128
Te 0.4064 0.0596 0.6861
Te 0.5936 0.9404 0.3139
Te 0.7095 0.7095 0.6872
Te 0.9404 0.5936 0.3139


# 2
The following is a DFT calculation (PBE) of crystalline NdTeBr at its relaxed geometry.

Summary:
energy above the most stable polymorph in this dataset	24	meV/atom
ΔE_f (raw)	-1569	meV per atom
density of states at the Fermi level	0.00	states/eV/atom

a = 8.3401 Å, b = 8.3401 Å, c = 7.7746 Å
α = 114.38°, β = 114.38°, γ = 31.13°
Fractional positions:
Nd 0.2454 0.2454 0.2618
Nd 0.7546 0.7546 0.7382
Te 0.3761 0.3761 0.6913
Te 0.6239 0.6239 0.3087
Br 0.1460 0.1460 0.8255
Br 0.8540 0.8540 0.1745


# 3
The following is a DFT calculation (PBE) of crystalline FeCuC2 at its relaxed geometry.

Summary:
energy of formation from the pure elements	1.594	eV/atom
energy above the most stable polymorph in this dataset	634	meV/atom
density of states at the Fermi level	0.65	states/eV/atom

a = 3.6289 Å, b = 3.6289 Å, c = 3.6289 Å
α = 60.00°, β = 60.00°, γ = 60.00°
Fractional positions:
Fe 0.0000 0.0000 0.0000
Cu 0.5000 0.5000 0.5000
C 0.2500 0.2500 0.2500
C 0.7500 0.7500 0.7500


# 4
The following is a DFT calculation (PBE) of crystalline Zr4CuH at its relaxed geometry.

Summary:
E_tot	-6.901	eV/atom
density of states at the Fermi level	1.21	states/eV/atom

a = 6.7958 Å, b = 6.7958 Å, c = 6.7958 Å
α = 103.17°, β = 103.17°, γ = 122.98°
Fractional positions:
Zr 0.2330 0.2748 0.5418
Zr 0.2330 0.6913 0.9582
Zr 0.2748 0.2330 0.0418
Zr 0.3087 0.7670 0.5418
Zr 0.6913 0.2330 0.4582
Zr 0.7252 0.7670 0.9582
Zr 0.7670 0.3087 0.0418
Zr 0.7670 0.7252 0.4582
Cu 0.1250 0.8750 0.2500
Cu 0.8750 0.1250 0.7500
H 0.3750 0.6250 0.7500
H 0.6250 0.3750 0.2500